1.
Below is an optimized crystal structure of Na3NiGe, with properties calculated at the GGA-PBEsol level.

Properties
DOS(E_F) in states/eV/atom: 2.6294
Size of the total moment in μB/cell: 2.05
DFT formation energy in eV/atom: 0.93

Unit cell a=5.4362 b=5.4362 c=5.4362 alpha=90.00 beta=90.00 gamma=90.00
Last column: nearest neighbours and their distance in Å.
Space group Pm-3m (No. 221)
Asymmetric unit:
Na 0.0000 0.0000 0.5000 [3 per cell]  2 Ge 2.72
Ni 0.5000 0.5000 0.5000 [1 per cell]  12 Na 3.84
Ge 0.0000 0.0000 0.0000 [1 per cell]  6 Na 2.72

---

2.
Below is an optimized crystal structure of TiRuO2, with properties calculated at the GGA-PBEsol level.

Properties
DOS(E_F) in states/eV/atom: 0.6014
Size of the total moment in μB/cell: 0.00
Formation energy (no corrections) in eV per atom: -1.37

Unit cell a=3.8592 b=3.8592 c=11.8941 alpha=90.00 beta=90.00 gamma=90.00
Last column: nearest neighbours and their distance in Å.
Space group I-42d (No. 122)
Asymmetric unit:
Ti 0.0000 0.0000 0.0000 [4 per cell]  4 O 1.99
Ru 0.0000 0.0000 0.5000 [4 per cell]  4 O 2.04
O 0.2372 0.2500 0.1250 [8 per cell]  2 Ti 1.99, 2 Ru 2.04

---

3.
Below is an optimized crystal structure of EuNi2Sb2, with properties calculated at the GGA-PBEsol level.

Properties
DOS(E_F) in states/eV/atom: 2.1993
Size of the total moment in μB/cell: 13.78
Formation energy (no corrections) in eV per atom: -0.59

Unit cell a=4.3192 b=4.3192 c=10.6248 alpha=90.00 beta=90.00 gamma=90.00
Last column: nearest neighbours and their distance in Å.
Space group I4/mmm (No. 139)
Asymmetric unit:
Eu 0.0000 0.0000 0.0000 [2 per cell]  8 Sb 3.38, 8 Ni 3.42
Ni 0.0000 0.5000 0.2500 [4 per cell]  4 Sb 2.48
Sb 0.0000 0.0000 0.3638 [4 per cell]  4 Ni 2.48

---

4.
Below is an optimized crystal structure of Nb3GaF, with properties calculated at the GGA-PBEsol level.

Properties
DOS(E_F) in states/eV/atom: 0.8184
Size of the total moment in μB/cell: 0.00
Formation energy (no corrections) in eV per atom: -0.15

Unit cell a=4.2536 b=4.2536 c=4.2536 alpha=90.00 beta=90.00 gamma=90.00
Last column: nearest neighbours and their distance in Å.
Space group Pm-3m (No. 221)
Asymmetric unit:
Nb 0.0000 0.0000 0.5000 [3 per cell]  2 F 2.13
Ga 0.5000 0.5000 0.5000 [1 per cell]  12 Nb 3.01
F 0.0000 0.0000 0.0000 [1 per cell]  6 Nb 2.13

---

5.
Below is an optimized crystal structure of MgTiH4, with properties calculated at the GGA-PBEsol level.

Properties
DOS(E_F) in states/eV/atom: 0.2716
E_tot in eV per cell: -25.16
Size of the total moment in μB/cell: 0.00

Unit cell a=3.1311 b=3.1311 c=4.6394 alpha=90.00 beta=90.00 gamma=90.00
Last column: nearest neighbours and their distance in Å.
Space group P4/mmm (No. 123)
Asymmetric unit:
Mg 0.0000 0.0000 0.0000 [1 per cell]  8 H 2.00
Ti 0.5000 0.5000 0.5000 [1 per cell]  8 H 1.90
H 0.0000 0.5000 0.2675 [4 per cell]  2 Ti 1.90, 2 Mg 2.00

---

6.
Below is an optimized crystal structure of Ga23N5O27, with properties calculated at the GGA-PBEsol level.

Properties
Size of the total moment in μB/cell: 0.00
Formation energy (no corrections) in eV per atom: -1.61

Unit cell a=5.8515 b=5.8559 c=19.3693 alpha=81.92 beta=82.31 gamma=60.56
Last column: nearest neighbours and their distance in Å.
Space group P1 (No. 1)
Asymmetric unit:
Ga 0.0000 0.0000 0.0000 [1 per cell]  6 O 1.96-2.04
Ga 0.9996 0.0063 0.4970 [1 per cell]  1 N 1.92, 5 O 2.02-2.04
Ga 0.0080 0.5215 0.4090 [1 per cell]  2 N 1.86-1.87, 2 O 1.92-1.96
Ga 0.1187 0.5888 0.1170 [1 per cell]  3 O 1.88-2.07, 1 N 1.97
Ga 0.2309 0.7298 0.8486 [1 per cell]  4 O 1.82-1.92
Ga 0.2356 0.7447 0.2433 [1 per cell]  1 N 1.91, 5 O 1.96-2.08
Ga 0.2372 0.2548 0.2460 [1 per cell]  1 N 1.92, 5 O 2.01-2.05
Ga 0.2456 0.2610 0.7484 [1 per cell]  1 N 1.94, 5 O 1.99-2.07
Ga 0.2576 0.7938 0.6586 [1 per cell]  1 N 1.86, 3 O 1.90
Ga 0.3681 0.8792 0.3767 [1 per cell]  2 N 1.94-1.95, 4 O 2.04-2.08
Ga 0.4754 0.9643 0.0890 [1 per cell]  4 O 1.82-1.98
Ga 0.4930 0.9999 0.4942 [1 per cell]  2 N 1.95-1.96, 4 O 2.02-2.10
Ga 0.4993 0.4974 0.9982 [1 per cell]  6 O 1.95-2.03
Ga 0.4987 0.5071 0.4974 [1 per cell]  1 N 1.92, 5 O 2.02-2.05
Ga 0.5227 0.0313 0.9062 [1 per cell]  4 O 1.84-1.93
Ga 0.6320 0.1250 0.6256 [1 per cell]  1 N 1.92, 5 O 2.01-2.05
Ga 0.7120 0.2199 0.3406 [1 per cell]  4 O 1.89-1.92
Ga 0.7372 0.2836 0.1514 [1 per cell]  3 O 1.83-1.96, 1 N 1.90
Ga 0.7379 0.7483 0.2466 [1 per cell]  6 O 1.94-2.04
Ga 0.7613 0.7521 0.7462 [1 per cell]  2 N 1.93-1.94, 4 O 2.05-2.09
Ga 0.7633 0.2536 0.7471 [1 per cell]  2 N 1.94-1.95, 4 O 2.03-2.08
Ga 0.8905 0.3938 0.8808 [1 per cell]  4 O 1.88-2.09
Ga 0.9694 0.4736 0.5967 [1 per cell]  1 N 1.86, 3 O 1.94-1.97
N 0.1870 0.1633 0.4385 [1 per cell]  4 Ga 1.87-1.96
N 0.3805 0.4531 0.1873 [1 per cell]  4 Ga 1.90-1.97
N 0.6517 0.6971 0.4388 [1 per cell]  4 Ga 1.86-1.95
N 0.9032 0.9595 0.6901 [1 per cell]  4 Ga 1.86-1.94
N 0.9383 0.4415 0.6943 [1 per cell]  4 Ga 1.86-1.95
O 0.0415 0.5659 0.3063 [1 per cell]  4 Ga 1.96-2.08
O 0.0574 0.0909 0.8126 [1 per cell]  4 Ga 1.91-2.11
O 0.0625 0.5629 0.8139 [1 per cell]  4 Ga 1.92-2.08
O 0.0758 0.0496 0.3069 [1 per cell]  4 Ga 1.92-2.08
O 0.1725 0.1783 0.9368 [1 per cell]  3 Ga 1.84-1.99
O 0.1818 0.6916 0.4386 [1 per cell]  4 Ga 1.92-2.07
O 0.1921 0.6954 0.9435 [1 per cell]  3 Ga 1.82-1.97
O 0.3031 0.7982 0.0606 [1 per cell]  3 Ga 1.88-2.03
O 0.3062 0.8120 0.5591 [1 per cell]  4 Ga 1.90-2.10
O 0.3216 0.3133 0.0588 [1 per cell]  3 Ga 1.82-2.01
O 0.3401 0.3046 0.5592 [1 per cell]  4 Ga 1.97-2.08
O 0.4210 0.9328 0.1922 [1 per cell]  4 Ga 1.98-2.01
O 0.4389 0.9541 0.6875 [1 per cell]  4 Ga 1.90-2.06
O 0.4405 0.4288 0.6884 [1 per cell]  4 Ga 1.90-2.06
O 0.5387 0.5841 0.3085 [1 per cell]  4 Ga 1.91-2.08
O 0.5437 0.0538 0.3080 [1 per cell]  4 Ga 1.90-2.04
O 0.5567 0.0770 0.8055 [1 per cell]  4 Ga 1.93-2.09
O 0.5890 0.5598 0.8100 [1 per cell]  4 Ga 1.92-2.13
O 0.6735 0.6779 0.9353 [1 per cell]  3 Ga 1.84-2.00
O 0.6791 0.1877 0.4394 [1 per cell]  4 Ga 1.89-2.05
O 0.6975 0.1975 0.9363 [1 per cell]  4 Ga 1.91-2.09
O 0.8002 0.3029 0.0561 [1 per cell]  3 Ga 1.83-1.96
O 0.8001 0.3085 0.5599 [1 per cell]  4 Ga 1.94-2.04
O 0.8013 0.8404 0.5572 [1 per cell]  4 Ga 1.96-2.06
O 0.8301 0.8161 0.0647 [1 per cell]  3 Ga 1.83-2.01
O 0.9160 0.4425 0.1885 [1 per cell]  4 Ga 1.96-2.07
O 0.9162 0.9274 0.1919 [1 per cell]  3 Ga 1.92-1.96

---

7.
Below is an optimized crystal structure of Sr2DyFeO6, with properties calculated at the GGA-PBEsol level.

Properties
DOS(E_F) in states/eV/atom: 0.0591
Size of the total moment in μB/cell: 12.04
Formation energy (no corrections) in eV per atom: -2.51

Unit cell a=8.0002 b=8.0002 c=8.0002 alpha=90.00 beta=90.00 gamma=90.00
Last column: nearest neighbours and their distance in Å.
Space group Fm-3m (No. 225)
Asymmetric unit:
Sr 0.2500 0.2500 0.2500 [8 per cell]  12 O 2.83
Dy 0.0000 0.0000 0.0000 [4 per cell]  6 O 2.16
Fe 0.0000 0.0000 0.5000 [4 per cell]  6 O 1.84
O 0.0000 0.0000 0.2705 [24 per cell]  1 Fe 1.84

---

8.
Below is an optimized crystal structure of BaLaAs2, with properties calculated at the GGA-PBEsol level.

Properties
DOS(E_F) in states/eV/atom: 0.4969
Size of the total moment in μB/cell: 0.00
E above lowest polymorph in meV per atom: 0.0
DFT formation energy in eV/atom: -1.06

Unit cell a=3.3860 b=3.9757 c=8.0646 alpha=90.00 beta=90.00 gamma=90.00
Last column: nearest neighbours and their distance in Å.
Space group Pmmm (No. 47)
Asymmetric unit:
Ba 0.0000 0.0000 0.0000 [1 per cell]  2 Ba 3.39, 8 As 3.40
La 0.0000 0.0000 0.5000 [1 per cell]  8 As 3.20, 2 La 3.39
As 0.5000 0.5000 0.2702 [2 per cell]  4 La 3.20, 2 As 3.39, 4 Ba 3.40

---

9.
Below is an optimized crystal structure of AgTeWI2, with properties calculated at the GGA-PBEsol level.

Properties
DOS(E_F) in states/eV/atom: 1.0468
Size of the total moment in μB/cell: 1.17
Formation energy (no corrections) in eV per atom: 0.81

Unit cell a=5.5013 b=5.5013 c=5.1509 alpha=90.00 beta=90.00 gamma=90.00
Last column: nearest neighbours and their distance in Å.
Space group P4/mmm (No. 123)
Asymmetric unit:
Ag 0.0000 0.0000 0.0000 [1 per cell]  8 I 3.77, 4 Te 3.89
Te 0.5000 0.5000 0.0000 [1 per cell]  2 W 2.58
W 0.5000 0.5000 0.5000 [1 per cell]  2 Te 2.58, 4 I 2.75
I 0.0000 0.5000 0.5000 [2 per cell]  2 W 2.75

---

10.
Below is an optimized crystal structure of BaTc2Ag, with properties calculated at the GGA-PBEsol level.

Properties
DOS(E_F) in states/eV/atom: 0.7788
Size of the total moment in μB/cell: 0.00
E above lowest polymorph in meV per atom: 0.0
DFT formation energy in eV/atom: 0.44

Unit cell a=3.1266 b=3.1266 c=8.2523 alpha=90.00 beta=90.00 gamma=90.00
Last column: nearest neighbours and their distance in Å.
Space group P4mm (No. 99)
Asymmetric unit:
Ba 0.0000 0.0000 0.0000 [1 per cell]  4 Ba 3.13, 4 Ag 3.42, 4 Tc 3.42
Tc 0.0000 0.0000 0.4601 [1 per cell]  4 Tc 2.51
Tc 0.5000 0.5000 0.3160 [1 per cell]  4 Tc 2.51
Ag 0.5000 0.5000 0.6843 [1 per cell]  5 Tc 2.88-3.04, 4 Ag 3.13